The following is a DFT calculation (GGA-PBEsol) of an optimized crystal structure of BiSbTe2.

Summary:
- Offset from the most stable computed form: 221 meV per atom
- Spin magnetization: 0.0 μB/f.u.
- E: -46.45 eV for the cell shown
- E_form (uncorrected): 0.10 eV per atom

Structure (CIF):
```
data_BiSbTe2
_chemical_formula_sum 'Bi3 Sb3 Te6'
_cell_length_a 3.9744
_cell_length_b 3.9744
_cell_length_c 29.8216
_cell_angle_alpha 90.00
_cell_angle_beta 90.00
_cell_angle_gamma 120.00
_symmetry_space_group_name_H-M 'R -3 m'
_symmetry_Int_Tables_number 166
_symmetry_space_group_name_Hall '-R 3 2"'
loop_
_atom_site_label
_atom_site_type_symbol
_atom_site_fract_x
_atom_site_fract_y
_atom_site_fract_z
Bi1 Bi 0.0000 0.0000 0.0000
Sb1 Sb 0.0000 0.0000 0.5000
Te1 Te 0.0000 0.0000 0.1017
```